Here is crystalline Pm3SnRu at its relaxed geometry from Alexandria. Energies are from GGA-PBE.

Properties
N(E_F) = 6.3 states/eV per cell
E_tot = -29.69 eV per formula unit
Symmetry = C2/m
Energy of formation = -0.43 eV/atom

a b c (Å): 4.681 6.340 10.227
angles (deg): 83.44 89.99 68.31
Positions (direct):
Pm  0.527  0.337  0.364
Pm  0.013  0.364  0.079
Pm  0.553  0.284  0.802
Pm  0.803  0.783  0.304
Ru  0.645  0.099  0.073
Ru  0.170  0.049  0.310
Pm  0.263  0.863  0.582
Sn  0.985  0.420  0.580
Pm  0.289  0.811  0.019
Sn  0.831  0.727  0.804


Here is crystalline Pm4Sn5Ru2 at its relaxed geometry from Alexandria. Energies are from GGA-PBE.

Properties
N(E_F) = 7.3 states/eV per cell
E_tot = -63.23 eV per formula unit
Symmetry = P2/m
Energy of formation = -0.51 eV/atom

a b c (Å): 4.200 7.615 9.042
angles (deg): 92.46 90.00 90.00
Positions (direct):
Pm  0.500  0.232  0.414
Ru  0.000  0.072  0.623
Pm  0.500  0.768  0.586
Sn  0.000  0.565  0.341
Ru  0.000  0.928  0.377
Pm  0.500  0.203  0.847
Sn  0.000  0.500  0.000
Sn  0.000  0.435  0.659
Sn  0.000  0.130  0.135
Sn  0.000  0.870  0.865
Pm  0.500  0.797  0.153


Here is crystalline Pm8SnRu2 at its relaxed geometry from Alexandria. Energies are from GGA-PBE.

Properties
N(E_F) = 11.6 states/eV per cell
E_tot = -62.99 eV per formula unit
Symmetry = C2/m
Energy of formation = -0.22 eV/atom

a b c (Å): 5.570 8.090 8.090
angles (deg): 113.01 97.64 97.64
Positions (direct):
Ru  0.000  0.306  0.694
Pm  0.500  0.751  0.249
Ru  0.000  0.694  0.306
Pm  0.699  0.388  0.388
Pm  0.500  0.249  0.751
Pm  0.301  0.612  0.612
Pm  0.934  0.675  0.931
Pm  0.066  0.069  0.325
Pm  0.066  0.325  0.069
Pm  0.934  0.931  0.675
Sn  0.500  0.000  0.000


Here is crystalline PmSn12Ru4 at its relaxed geometry from Alexandria. Energies are from GGA-PBE.

Properties
N(E_F) = 12.9 states/eV per cell
E_tot = -90.49 eV per formula unit
Symmetry = Im-3
Energy of formation = -0.04 eV/atom

a b c (Å): 8.228 8.228 8.228
angles (deg): 109.47 109.47 109.47
Positions (direct):
Sn  0.505  0.836  0.669
Sn  0.331  0.167  0.836
Ru  0.000  0.000  0.500
Pm  0.000  0.000  0.000
Ru  0.500  0.000  0.000
Sn  0.164  0.331  0.495
Sn  0.167  0.836  0.331
Ru  0.500  0.500  0.500
Sn  0.669  0.833  0.164
Sn  0.833  0.164  0.669
Sn  0.331  0.495  0.164
Sn  0.836  0.331  0.167
Sn  0.669  0.505  0.836
Ru  0.000  0.500  0.000
Sn  0.164  0.669  0.833
Sn  0.495  0.164  0.331
Sn  0.836  0.669  0.505


Here is crystalline PmSnRu at its relaxed geometry from Alexandria. Energies are from GGA-PBE.

Properties
N(E_F) = 2.2 states/eV per cell
E_tot = -18.92 eV per formula unit
Symmetry = F-43m
Energy of formation = -0.30 eV/atom

a b c (Å): 4.709 4.709 4.709
angles (deg): 60.00 60.00 60.00
Positions (direct):
Sn  0.000  0.000  0.000
Ru  0.250  0.250  0.250
Pm  0.500  0.500  0.500


Here is crystalline Pm3SnRu at its relaxed geometry from Alexandria. Energies are from GGA-PBE.

Properties
N(E_F) = 7.4 states/eV per cell
E_tot = -28.95 eV per formula unit
Symmetry = P2_1/m
Energy of formation = -0.28 eV/atom

a b c (Å): 5.188 5.408 10.349
angles (deg): 90.00 89.03 90.00
Positions (direct):
Ru  0.516  0.250  0.607
Pm  0.508  0.750  0.676
Pm  0.494  0.750  0.106
Pm  0.492  0.250  0.324
Pm  0.506  0.250  0.894
Ru  0.484  0.750  0.393
Sn  0.997  0.250  0.129
Sn  0.003  0.750  0.871
Pm  0.014  0.250  0.638
Pm  0.986  0.750  0.362


Here is crystalline Pm7Sn3Ru2 at its relaxed geometry from Alexandria. Energies are from GGA-PBE.

Properties
N(E_F) = 8.4 states/eV per cell
E_tot = -67.45 eV per formula unit
Symmetry = Cmmm
Energy of formation = -0.30 eV/atom

a b c (Å): 5.203 5.364 13.313
angles (deg): 101.62 90.00 90.00
Positions (direct):
Sn  0.500  0.305  0.610
Ru  0.000  0.892  0.785
Pm  0.000  0.000  0.000
Sn  0.500  0.500  0.000
Pm  0.500  0.093  0.186
Pm  0.500  0.907  0.814
Pm  0.000  0.212  0.424
Pm  0.000  0.788  0.576
Ru  0.000  0.108  0.215
Sn  0.500  0.695  0.390
Pm  0.000  0.386  0.773
Pm  0.000  0.614  0.227


Here is crystalline PmSnRu2 at its relaxed geometry from Alexandria. Energies are from GGA-PBE.

Properties
N(E_F) = 3.0 states/eV per cell
E_tot = -27.90 eV per formula unit
Symmetry = P4/mmm
Energy of formation = -0.15 eV/atom

a b c (Å): 3.377 3.377 6.668
angles (deg): 90.00 90.00 90.00
Positions (direct):
Sn  0.500  0.500  0.500
Pm  0.500  0.500  0.000
Ru  0.000  0.000  0.277
Ru  0.000  0.000  0.723


Here is crystalline PmSnRu at its relaxed geometry from Alexandria. Energies are from GGA-PBE.

Properties
N(E_F) = 2.8 states/eV per cell
E_tot = -19.04 eV per formula unit
Symmetry = P-6m2
Energy of formation = -0.34 eV/atom

a b c (Å): 3.676 4.665 4.665
angles (deg): 120.00 90.00 90.00
Positions (direct):
Sn  0.167  0.667  0.333
Ru  0.166  0.000  0.000
Pm  0.667  0.333  0.667


Here is crystalline Pm7Sn2Ru2 at its relaxed geometry from Alexandria. Energies are from GGA-PBE.

Properties
N(E_F) = 11.6 states/eV per cell
E_tot = -63.16 eV per formula unit
Symmetry = Cmmm
Energy of formation = -0.30 eV/atom

a b c (Å): 6.968 7.222 6.968
angles (deg): 90.00 107.20 90.00
Positions (direct):
Sn  0.177  0.500  0.177
Pm  0.500  0.238  0.500
Ru  0.710  0.000  0.290
Pm  0.000  0.749  0.500
Pm  0.500  0.762  0.500
Sn  0.823  0.500  0.823
Ru  0.290  0.000  0.710
Pm  0.000  0.251  0.500
Pm  0.000  0.000  0.000
Pm  0.500  0.251  0.000
Pm  0.500  0.749  0.000


Here is crystalline Pm4SnRu at its relaxed geometry from Alexandria. Energies are from GGA-PBE.

Properties
N(E_F) = 12.7 states/eV per cell
E_tot = -34.73 eV per formula unit
Symmetry = C2/c
Energy of formation = -0.41 eV/atom

a b c (Å): 6.288 8.585 8.257
angles (deg): 114.09 103.20 107.06
Positions (direct):
Ru  0.250  0.000  0.000
Sn  0.623  0.373  0.746
Pm  0.947  0.788  0.138
Pm  0.691  0.350  0.138
Pm  0.784  0.716  0.655
Ru  0.750  0.000  0.000
Pm  0.630  0.061  0.345
Sn  0.377  0.627  0.254
Pm  0.309  0.650  0.862
Pm  0.053  0.212  0.862
Pm  0.216  0.284  0.345
Pm  0.370  0.939  0.655


Here is crystalline Pm8Sn2Ru at its relaxed geometry from Alexandria. Energies are from GGA-PBE.

Properties
N(E_F) = 9.9 states/eV per cell
E_tot = -59.14 eV per formula unit
Symmetry = C2/m
Energy of formation = -0.35 eV/atom

a b c (Å): 5.091 6.905 10.111
angles (deg): 105.00 104.58 90.00
Positions (direct):
Ru  0.500  0.000  0.000
Pm  0.784  0.682  0.567
Sn  0.820  0.251  0.640
Pm  0.590  0.463  0.180
Pm  0.355  0.004  0.710
Sn  0.180  0.749  0.360
Pm  0.985  0.215  0.969
Pm  0.216  0.318  0.433
Pm  0.410  0.537  0.820
Pm  0.645  0.996  0.290
Pm  0.015  0.785  0.031


Here is crystalline Pm2Sn8Ru at its relaxed geometry from Alexandria. Energies are from GGA-PBE.

Properties
N(E_F) = 5.4 states/eV per cell
E_tot = -55.05 eV per formula unit
Symmetry = P4/mmm
Energy of formation = -0.39 eV/atom

a b c (Å): 4.725 4.725 12.480
angles (deg): 90.00 90.00 90.00
Positions (direct):
Sn  0.000  0.500  0.880
Sn  0.500  0.000  0.880
Sn  0.000  0.500  0.500
Sn  0.500  0.500  0.305
Pm  0.000  0.000  0.692
Ru  0.000  0.000  0.000
Sn  0.000  0.500  0.120
Pm  0.000  0.000  0.308
Sn  0.500  0.000  0.500
Sn  0.500  0.000  0.120
Sn  0.500  0.500  0.695


Here is crystalline Pm6Sn3Ru2 at its relaxed geometry from Alexandria. Energies are from GGA-PBE.

Properties
N(E_F) = 8.2 states/eV per cell
E_tot = -62.62 eV per formula unit
Symmetry = I4/mmm
Energy of formation = -0.32 eV/atom

a b c (Å): 5.155 5.155 12.696
angles (deg): 101.71 101.71 90.00
Positions (direct):
Ru  0.555  0.555  0.111
Pm  0.416  0.916  0.832
Pm  0.584  0.084  0.168
Pm  0.306  0.306  0.613
Pm  0.916  0.416  0.832
Pm  0.084  0.584  0.168
Pm  0.694  0.694  0.387
Ru  0.445  0.445  0.889
Sn  0.177  0.177  0.353
Sn  0.000  0.000  0.000
Sn  0.823  0.823  0.647


Here is crystalline PmSn3Ru at its relaxed geometry from Alexandria. Energies are from GGA-PBE.

Properties
N(E_F) = 3.0 states/eV per cell
E_tot = -27.94 eV per formula unit
Symmetry = Amm2
Energy of formation = -0.38 eV/atom

a b c (Å): 4.615 4.748 6.139
angles (deg): 112.75 90.00 90.00
Positions (direct):
Sn  0.500  0.764  0.528
Sn  0.000  0.248  0.495
Ru  0.500  0.373  0.747
Pm  0.500  0.054  0.109
Sn  0.000  0.520  0.041


Here is crystalline PmSn3Ru2 at its relaxed geometry from Alexandria. Energies are from GGA-PBE.

Properties
N(E_F) = 10.0 states/eV per cell
E_tot = -36.24 eV per formula unit
Symmetry = P-3m1
Energy of formation = -0.16 eV/atom

a b c (Å): 7.218 6.464 6.464
angles (deg): 120.00 90.00 90.00
Positions (direct):
Sn  0.725  0.336  0.168
Sn  0.275  0.664  0.832
Ru  0.000  0.500  0.500
Ru  0.000  0.500  0.000
Ru  0.000  0.000  0.000
Sn  0.275  0.168  0.336
Sn  0.725  0.832  0.168
Sn  0.275  0.168  0.832
Sn  0.725  0.832  0.664
Ru  0.000  0.000  0.500
Pm  0.333  0.667  0.333
Pm  0.667  0.333  0.667


Here is crystalline Pm5SnRu at its relaxed geometry from Alexandria. Energies are from GGA-PBE.

Properties
N(E_F) = 15.6 states/eV per cell
E_tot = -38.50 eV per formula unit
Symmetry = C2/c
Energy of formation = -0.21 eV/atom

a b c (Å): 6.462 6.462 11.636
angles (deg): 75.62 75.62 66.17
Positions (direct):
Pm  0.412  0.023  0.360
Pm  0.544  0.214  0.042
Sn  0.469  0.531  0.250
Pm  0.977  0.588  0.140
Pm  0.588  0.977  0.640
Pm  0.786  0.456  0.458
Pm  0.024  0.976  0.750
Pm  0.456  0.786  0.958
Sn  0.531  0.469  0.750
Ru  0.000  0.000  0.500
Ru  0.000  0.000  0.000
Pm  0.976  0.024  0.250
Pm  0.023  0.412  0.860
Pm  0.214  0.544  0.542


Here is crystalline Pm3Sn7Ru2 at its relaxed geometry from Alexandria. Energies are from GGA-PBE.

Properties
N(E_F) = 8.1 states/eV per cell
E_tot = -65.56 eV per formula unit
Symmetry = Cmmm
Energy of formation = -0.39 eV/atom

a b c (Å): 4.503 4.694 14.654
angles (deg): 99.22 90.00 90.00
Positions (direct):
Pm  0.500  0.679  0.359
Sn  0.000  0.410  0.819
Sn  0.000  0.778  0.557
Sn  0.500  0.913  0.825
Sn  0.000  0.222  0.443
Ru  0.000  0.134  0.268
Sn  0.500  0.087  0.175
Pm  0.500  0.500  0.000
Pm  0.500  0.321  0.641
Sn  0.000  0.000  0.000
Ru  0.000  0.866  0.732
Sn  0.000  0.590  0.181


Here is crystalline Pm12Sn6Ru at its relaxed geometry from Alexandria. Energies are from GGA-PBE.

Properties
N(E_F) = 19.1 states/eV per cell
E_tot = -97.98 eV per formula unit
Symmetry = R-3
Energy of formation = -0.40 eV/atom

a b c (Å): 8.825 8.825 8.825
angles (deg): 99.29 99.29 99.29
Positions (direct):
Sn  0.123  0.639  0.308
Pm  0.945  0.017  0.686
Pm  0.428  0.563  0.193
Sn  0.692  0.877  0.361
Pm  0.193  0.428  0.563
Pm  0.055  0.983  0.314
Pm  0.017  0.686  0.945
Pm  0.807  0.572  0.437
Pm  0.314  0.055  0.983
Pm  0.563  0.193  0.428
Sn  0.361  0.692  0.877
Pm  0.437  0.807  0.572
Sn  0.877  0.361  0.692
Sn  0.308  0.123  0.639
Pm  0.686  0.945  0.017
Pm  0.572  0.437  0.807
Pm  0.983  0.314  0.055
Sn  0.639  0.308  0.123
Ru  0.000  0.000  0.000


Here is crystalline PmSnRu2 at its relaxed geometry from Alexandria. Energies are from GGA-PBE.

Properties
N(E_F) = 2.0 states/eV per cell
E_tot = -28.20 eV per formula unit
Symmetry = P4/mmm
Energy of formation = -0.22 eV/atom

a b c (Å): 3.439 4.667 4.667
angles (deg): 90.00 90.00 90.00
Positions (direct):
Sn  0.500  0.000  0.000
Ru  0.000  0.500  0.000
Ru  0.000  0.000  0.500
Pm  0.500  0.500  0.500


Here is crystalline PmSnRu at its relaxed geometry from Alexandria. Energies are from GGA-PBE.

Properties
N(E_F) = 5.3 states/eV per cell
E_tot = -19.33 eV per formula unit
Symmetry = P2_1/c
Energy of formation = -0.43 eV/atom

a b c (Å): 6.159 6.471 7.601
angles (deg): 112.45 90.00 90.00
Positions (direct):
Pm  0.652  0.743  0.906
Pm  0.152  0.257  0.594
Sn  0.649  0.297  0.483
Sn  0.851  0.297  0.983
Pm  0.848  0.743  0.406
Sn  0.351  0.703  0.517
Ru  0.579  0.075  0.711
Ru  0.921  0.075  0.211
Ru  0.079  0.925  0.789
Pm  0.348  0.257  0.094
Sn  0.149  0.703  0.017
Ru  0.421  0.925  0.289


Here is crystalline PmSnRu4 at its relaxed geometry from Alexandria. Energies are from GGA-PBE.

Properties
N(E_F) = 9.1 states/eV per cell
E_tot = -45.81 eV per formula unit
Symmetry = F-43m
Energy of formation = 0.01 eV/atom

a b c (Å): 5.313 5.313 5.313
angles (deg): 60.00 60.00 60.00
Positions (direct):
Sn  0.000  0.000  0.000
Ru  0.122  0.626  0.626
Ru  0.626  0.122  0.626
Ru  0.626  0.626  0.626
Pm  0.250  0.250  0.250
Ru  0.626  0.626  0.122